Entry from Alexandria via LeMat-Bulk: an optimized crystal structure of AcMgInPt3 (PBE).

The final energy is -5.049 eV per atom. As for the crystal system: orthorhombic. The formation energy is -360 kJ/mol of formula units.

CIF file:
```
data_AcMgInPt3
_cell_length_a 5.926
_cell_length_b 17.198
_cell_length_c 5.889
_cell_angle_alpha 90.00
_cell_angle_beta 90.00
_cell_angle_gamma 90.00
_symmetry_space_group_name_H-M 'C m c m'
_symmetry_Int_Tables_number 63
_symmetry_space_group_name_Hall '-C 2c 2'
loop_
_atom_site_label
_atom_site_type_symbol
_atom_site_fract_x
_atom_site_fract_y
_atom_site_fract_z
Ac1 Ac 0.000 0.230 0.250
Mg1 Mg 0.000 0.098 0.750
In1 In 0.000 0.406 0.750
Pt1 Pt 0.000 0.251 0.750
Pt2 Pt 0.235 0.000 0.000
```